1.
Here is AcTmZnSi after structural relaxation from Alexandria via LeMat-Bulk. Energies are from PBE.

Properties
**Magnetic moment**: 0.0 μB per cell
**Theoretical density**: 8.15 g/cm³
**Formation energy without anion corrections**: -320 meV per atom

Lattice parameters (Å, degrees): 5.204 5.204 5.204 60.00 60.00 60.00
Positions (direct):
Ac 0.000 0.000 0.000
Tm 0.500 0.500 0.500
Zn 0.750 0.750 0.750
Si 0.250 0.250 0.250

2.
Here is AcUSi2 after structural relaxation from Alexandria via LeMat-Bulk. Energies are from PBE.

Properties
**Magnetic moment**: 2.6 μB per cell
**Energy relative to the lowest polymorph listed for this composition**: 0 meV/atom
**Theoretical density**: 9.03 g/cm³
**Formation energy without anion corrections**: -217 meV per atom

Lattice parameters (Å, degrees): 3.825 3.825 6.551 90.00 90.00 90.00
Positions (direct):
Ac 0.000 0.000 0.000
U 0.000 0.000 0.500
Si 0.500 0.500 0.311
Si 0.500 0.500 0.689

3.
Here is AcUSi2 after structural relaxation from Alexandria via LeMat-Bulk. Energies are from PBE.

Properties
**Magnetic moment**: 0.8 μB per cell
**Energy relative to the lowest polymorph listed for this composition**: 87 meV/atom
**Theoretical density**: 7.85 g/cm³
**Formation energy without anion corrections**: -130 meV per atom

Lattice parameters (Å, degrees): 7.256 7.256 7.256 34.66 34.66 34.66
Positions (direct):
Ac 0.000 0.000 0.000
U 0.500 0.500 0.500
Si 0.232 0.232 0.232
Si 0.768 0.768 0.768

4.
Here is AcVSi2 after structural relaxation from Alexandria via LeMat-Bulk. Energies are from PBE.

Properties
**Magnetic moment**: 1.7 μB per cell
**Energy relative to the lowest polymorph listed for this composition**: 0 meV/atom
**Theoretical density**: 6.39 g/cm³
**Formation energy without anion corrections**: -287 meV per atom

Lattice parameters (Å, degrees): 6.081 6.081 6.081 40.87 40.87 40.87
Positions (direct):
Ac 0.000 0.000 0.000
V 0.500 0.500 0.500
Si 0.208 0.208 0.208
Si 0.792 0.792 0.792

5.
Here is AcVSi after structural relaxation from Alexandria via LeMat-Bulk. Energies are from PBE.

Properties
**Magnetic moment**: 0.0 μB per cell
**Theoretical density**: 7.16 g/cm³
**Formation energy without anion corrections**: 34 meV per atom

Lattice parameters (Å, degrees): 6.598 5.965 3.607 90.00 90.00 90.00
Positions (direct):
Ac 0.250 0.000 0.228
Ac 0.750 0.000 0.772
V 0.000 0.500 0.500
V 0.500 0.500 0.500
Si 0.250 0.500 0.987
Si 0.750 0.500 0.013

6.
Here is AcVSi2 after structural relaxation from Alexandria via LeMat-Bulk. Energies are from PBE.

Properties
**Magnetic moment**: 1.1 μB per cell
**Energy relative to the lowest polymorph listed for this composition**: 118 meV/atom
**Theoretical density**: 7.07 g/cm³
**Formation energy without anion corrections**: -169 meV per atom

Lattice parameters (Å, degrees): 3.401 3.401 6.783 90.00 90.00 90.00
Positions (direct):
Ac 0.000 0.000 0.000
V 0.000 0.000 0.500
Si 0.500 0.500 0.325
Si 0.500 0.500 0.675

> magnetic moment of number 2 (AcUSi2)?

2.6 μB per cell

What did the second record say?
Here is AcUSi2 after structural relaxation from Alexandria via LeMat-Bulk. Energies are from PBE.

Properties
**Magnetic moment**: 2.6 μB per cell
**Energy relative to the lowest polymorph listed for this composition**: 0 meV/atom
**Theoretical density**: 9.03 g/cm³
**Formation energy without anion corrections**: -217 meV per atom

Lattice parameters (Å, degrees): 3.825 3.825 6.551 90.00 90.00 90.00
Positions (direct):
Ac 0.000 0.000 0.000
U 0.000 0.000 0.500
Si 0.500 0.500 0.311
Si 0.500 0.500 0.689